# 1
# PBE Hg3SbO2F6, optimized geometry
# - space-group type = No. 12
# - E_tot (eV per atom) = -3.692
# - crystal system = monoclinic
# - density (g/cm3) = 5.98
data_Hg3SbO2F6
_space_group_name_H-M_alt 'P 1'
_space_group_IT_number 1
_space_group_name_Hall 'P 1'
_cell_length_a 5.271
_cell_length_b 7.244
_cell_length_c 8.595
_cell_angle_alpha 114.93
_cell_angle_beta 122.01
_cell_angle_gamma 90.00
loop_
_atom_site_label
_atom_site_type_symbol
_atom_site_fract_x
_atom_site_fract_y
_atom_site_fract_z
_atom_site_occupancy
Hg1 Hg 0.000 0.500 0.000 1
Hg2 Hg 0.500 0.500 0.500 1
Hg3 Hg 0.500 0.000 0.500 1
Sb1 Sb 0.500 0.000 0.000 1
O1 O 0.360 0.664 0.328 1
O2 O 0.640 0.336 0.672 1
F1 F 0.795 0.280 0.181 1
F2 F 0.205 0.720 0.819 1
F3 F 0.661 0.916 0.832 1
F4 F 0.339 0.084 0.168 1
F5 F 0.205 0.099 0.819 1
F6 F 0.795 0.901 0.181 1

***

# 2
# PBE HgSbOF2, optimized geometry
# - space-group type = No. 123
# - crystal system = tetragonal
# - density (g/cm3) = 7.05
# - excess energy over the best structure of this formula in the dataset (meV/atom) = 810
data_HgSbOF2
_space_group_name_H-M_alt 'P 1'
_space_group_IT_number 1
_space_group_name_Hall 'P 1'
_cell_length_a 4.554
_cell_length_b 4.554
_cell_length_c 4.275
_cell_angle_alpha 90.00
_cell_angle_beta 90.00
_cell_angle_gamma 90.00
loop_
_atom_site_label
_atom_site_type_symbol
_atom_site_fract_x
_atom_site_fract_y
_atom_site_fract_z
_atom_site_occupancy
Sb1 Sb 0.500 0.500 0.500 1
Hg1 Hg 0.000 0.000 0.000 1
O1 O 0.000 0.000 0.500 1
F1 F 0.000 0.500 0.000 1
F2 F 0.500 0.000 0.000 1

***

# 3
# PBE HgSeO2F, optimized geometry
# - space-group type = No. 123
# - E_tot (eV per atom) = -2.271
# - crystal system = tetragonal
# - density (g/cm3) = 7.41
data_HgSeO2F
_space_group_name_H-M_alt 'P 1'
_space_group_IT_number 1
_space_group_name_Hall 'P 1'
_cell_length_a 4.386
_cell_length_b 3.851
_cell_length_c 4.386
_cell_angle_alpha 90.00
_cell_angle_beta 90.00
_cell_angle_gamma 90.00
loop_
_atom_site_label
_atom_site_type_symbol
_atom_site_fract_x
_atom_site_fract_y
_atom_site_fract_z
_atom_site_occupancy
O1 O 0.000 0.000 0.500 1
O2 O 0.500 0.000 0.000 1
Hg1 Hg 0.500 0.500 0.500 1
Se1 Se 0.000 0.500 0.000 1
F1 F 0.000 0.000 0.000 1

***

# 4
# PBE HgSeO2F, optimized geometry
# - space-group type = No. 123
# - E_tot (eV per atom) = -3.460
# - crystal system = tetragonal
# - density (g/cm3) = 7.75
data_HgSeO2F
_space_group_name_H-M_alt 'P 1'
_space_group_IT_number 1
_space_group_name_Hall 'P 1'
_cell_length_a 3.944
_cell_length_b 3.944
_cell_length_c 4.549
_cell_angle_alpha 90.00
_cell_angle_beta 90.00
_cell_angle_gamma 90.00
loop_
_atom_site_label
_atom_site_type_symbol
_atom_site_fract_x
_atom_site_fract_y
_atom_site_fract_z
_atom_site_occupancy
O1 O 0.000 0.500 0.000 1
O2 O 0.500 0.000 0.000 1
Hg1 Hg 0.500 0.500 0.500 1
Se1 Se 0.000 0.000 0.000 1
F1 F 0.000 0.000 0.500 1

***

# 5
# PBE HgSeO2F, optimized geometry
# - space-group type = No. 123
# - E_tot (eV per atom) = -2.684
# - crystal system = tetragonal
# - density (g/cm3) = 6.85
data_HgSeO2F
_space_group_name_H-M_alt 'P 1'
_space_group_IT_number 1
_space_group_name_Hall 'P 1'
_cell_length_a 4.288
_cell_length_b 4.288
_cell_length_c 4.358
_cell_angle_alpha 90.00
_cell_angle_beta 90.00
_cell_angle_gamma 90.00
loop_
_atom_site_label
_atom_site_type_symbol
_atom_site_fract_x
_atom_site_fract_y
_atom_site_fract_z
_atom_site_occupancy
O1 O 0.000 0.500 0.000 1
O2 O 0.500 0.000 0.000 1
Hg1 Hg 0.000 0.000 0.000 1
Se1 Se 0.500 0.500 0.500 1
F1 F 0.000 0.000 0.500 1

***

# 6
# PBE SiHg2O2F6, optimized geometry
# - space-group type = No. 14
# - E_tot (eV per atom) = -4.303
# - crystal system = monoclinic
# - density (g/cm3) = 5.27
data_SiHg2O2F6
_space_group_name_H-M_alt 'P 1'
_space_group_IT_number 1
_space_group_name_Hall 'P 1'
_cell_length_a 8.357
_cell_length_b 5.746
_cell_length_c 9.151
_cell_angle_alpha 55.51
_cell_angle_beta 90.00
_cell_angle_gamma 90.00
loop_
_atom_site_label
_atom_site_type_symbol
_atom_site_fract_x
_atom_site_fract_y
_atom_site_fract_z
_atom_site_occupancy
Si1 Si 0.000 0.000 0.500 1
Si2 Si 0.500 0.000 0.000 1
Hg1 Hg 0.440 0.875 0.660 1
Hg2 Hg 0.940 0.125 0.840 1
Hg3 Hg 0.560 0.125 0.340 1
Hg4 Hg 0.060 0.875 0.160 1
O1 O 0.929 0.537 0.990 1
O2 O 0.429 0.463 0.510 1
O3 O 0.071 0.463 0.010 1
O4 O 0.571 0.537 0.490 1
F1 F 0.377 0.858 0.914 1
F2 F 0.877 0.142 0.586 1
F3 F 0.623 0.142 0.086 1
F4 F 0.123 0.858 0.414 1
F5 F 0.909 0.678 0.634 1
F6 F 0.409 0.322 0.866 1
F7 F 0.091 0.322 0.366 1
F8 F 0.591 0.678 0.134 1
F9 F 0.138 0.911 0.661 1
F10 F 0.638 0.089 0.839 1
F11 F 0.862 0.089 0.339 1
F12 F 0.362 0.911 0.161 1

***

# 7
# PBE SmHgO2F, optimized geometry
# - space-group type = No. 11
# - E_tot (eV per atom) = -5.613
# - crystal system = monoclinic
# - density (g/cm3) = 9.01
data_SmHgO2F
_space_group_name_H-M_alt 'P 1'
_space_group_IT_number 1
_space_group_name_Hall 'P 1'
_cell_length_a 3.444
_cell_length_b 6.845
_cell_length_c 7.005
_cell_angle_alpha 116.24
_cell_angle_beta 90.00
_cell_angle_gamma 90.00
loop_
_atom_site_label
_atom_site_type_symbol
_atom_site_fract_x
_atom_site_fract_y
_atom_site_fract_z
_atom_site_occupancy
Sm1 Sm 0.750 0.747 0.240 1
Sm2 Sm 0.250 0.253 0.760 1
Hg1 Hg 0.750 0.719 0.692 1
Hg2 Hg 0.250 0.281 0.308 1
O1 O 0.250 0.477 0.145 1
O2 O 0.250 0.846 0.538 1
O3 O 0.750 0.154 0.462 1
O4 O 0.750 0.523 0.855 1
F1 F 0.750 0.121 0.898 1
F2 F 0.250 0.879 0.102 1

***

# 8
# PBE SnHg3O2F6, optimized geometry
# - space-group type = No. 12
# - E_tot (eV per atom) = -3.763
# - crystal system = monoclinic
# - density (g/cm3) = 6.52
data_SnHg3O2F6
_space_group_name_H-M_alt 'P 1'
_space_group_IT_number 1
_space_group_name_Hall 'P 1'
_cell_length_a 5.201
_cell_length_b 7.013
_cell_length_c 8.635
_cell_angle_alpha 113.96
_cell_angle_beta 125.93
_cell_angle_gamma 90.00
loop_
_atom_site_label
_atom_site_type_symbol
_atom_site_fract_x
_atom_site_fract_y
_atom_site_fract_z
_atom_site_occupancy
Sn1 Sn 0.500 0.000 0.000 1
Hg1 Hg 0.000 0.500 0.000 1
Hg2 Hg 0.500 0.500 0.500 1
Hg3 Hg 0.500 0.000 0.500 1
O1 O 0.442 0.666 0.331 1
O2 O 0.558 0.334 0.669 1
F1 F 0.853 0.273 0.138 1
F2 F 0.147 0.727 0.862 1
F3 F 0.451 0.863 0.727 1
F4 F 0.549 0.137 0.273 1
F5 F 0.147 0.135 0.862 1
F6 F 0.853 0.865 0.138 1

***

# 9
# PBE SnHgOF2, optimized geometry
# - space-group type = No. 123
# - crystal system = tetragonal
# - density (g/cm3) = 6.86
# - excess energy over the best structure of this formula in the dataset (meV/atom) = 515
data_SnHgOF2
_space_group_name_H-M_alt 'P 1'
_space_group_IT_number 1
_space_group_name_Hall 'P 1'
_cell_length_a 4.588
_cell_length_b 4.588
_cell_length_c 4.290
_cell_angle_alpha 90.00
_cell_angle_beta 90.00
_cell_angle_gamma 90.00
loop_
_atom_site_label
_atom_site_type_symbol
_atom_site_fract_x
_atom_site_fract_y
_atom_site_fract_z
_atom_site_occupancy
F1 F 0.000 0.500 0.000 1
F2 F 0.500 0.000 0.000 1
Hg1 Hg 0.000 0.000 0.000 1
O1 O 0.000 0.000 0.500 1
Sn1 Sn 0.500 0.500 0.500 1

***

# 10
# PBE SnHgO2F, optimized geometry
# - space-group type = No. 123
# - E_tot (eV per atom) = -3.673
# - crystal system = tetragonal
# - density (g/cm3) = 7.53
data_SnHgO2F
_space_group_name_H-M_alt 'P 1'
_space_group_IT_number 1
_space_group_name_Hall 'P 1'
_cell_length_a 4.235
_cell_length_b 4.235
_cell_length_c 4.552
_cell_angle_alpha 90.00
_cell_angle_beta 90.00
_cell_angle_gamma 90.00
loop_
_atom_site_label
_atom_site_type_symbol
_atom_site_fract_x
_atom_site_fract_y
_atom_site_fract_z
_atom_site_occupancy
F1 F 0.000 0.000 0.500 1
Hg1 Hg 0.000 0.000 0.000 1
O1 O 0.000 0.500 0.000 1
O2 O 0.500 0.000 0.000 1
Sn1 Sn 0.500 0.500 0.500 1

***

# 11
# PBE SnHgOF2, optimized geometry
# - space-group type = No. 123
# - crystal system = tetragonal
# - density (g/cm3) = 7.70
# - excess energy over the best structure of this formula in the dataset (meV/atom) = 0
data_SnHgOF2
_space_group_name_H-M_alt 'P 1'
_space_group_IT_number 1
_space_group_name_Hall 'P 1'
_cell_length_a 4.472
_cell_length_b 4.472
_cell_length_c 4.024
_cell_angle_alpha 90.00
_cell_angle_beta 90.00
_cell_angle_gamma 90.00
loop_
_atom_site_label
_atom_site_type_symbol
_atom_site_fract_x
_atom_site_fract_y
_atom_site_fract_z
_atom_site_occupancy
F1 F 0.000 0.500 0.000 1
F2 F 0.500 0.000 0.000 1
Hg1 Hg 0.500 0.500 0.500 1
O1 O 0.000 0.000 0.500 1
Sn1 Sn 0.000 0.000 0.000 1

***

# 12
# PBE SnHgO2F, optimized geometry
# - space-group type = No. 123
# - E_tot (eV per atom) = -4.302
# - crystal system = tetragonal
# - density (g/cm3) = 8.52
data_SnHgO2F
_space_group_name_H-M_alt 'P 1'
_space_group_IT_number 1
_space_group_name_Hall 'P 1'
_cell_length_a 4.093
_cell_length_b 4.093
_cell_length_c 4.307
_cell_angle_alpha 90.00
_cell_angle_beta 90.00
_cell_angle_gamma 90.00
loop_
_atom_site_label
_atom_site_type_symbol
_atom_site_fract_x
_atom_site_fract_y
_atom_site_fract_z
_atom_site_occupancy
F1 F 0.000 0.000 0.500 1
Hg1 Hg 0.500 0.500 0.500 1
O1 O 0.000 0.500 0.000 1
O2 O 0.500 0.000 0.000 1
Sn1 Sn 0.000 0.000 0.000 1